Na3MnSiCO7 at its PBEsol-relaxed geometry. Source: Alexandria, functional meta-GGA SCAN.

For the energy relative to the elements, uncorrected, the calculation gives -2.245 eV/atom. For the density, the calculation gives 3.0 Mg/m³. The crystal system is monoclinic. The value obtained for the total energy is -9.5246 eV per atom. As for the total magnetization: 8.000 μB per cell.

The structure belongs to space group P2_1/m (No. 11); the cell edges are 5.2172, 6.3748 and 9.0930 Å and the angles 90.00°, 90.51° and 90.00°. The asymmetric unit holds Na at (0.2190, 0.2500, 0.0971), Na at (0.2626, 0.5022, 0.7379), Mn at (0.2180, 0.7500, 0.3541), Si at (0.3115, 0.2500, 0.4287), C at (0.2834, 0.7500, 0.0546), O at (0.0890, 0.7500, 0.1457), O at (0.1556, 0.2500, 0.5809), O at (0.2329, 0.7500, 0.9156), O at (0.2515, 0.0469, 0.3208), O at (0.3741, 0.7500, 0.5398) and O at (0.4864, 0.2500, 0.8949).



NaMnTeC2 at its PBEsol-relaxed geometry. Source: Alexandria, functional meta-GGA SCAN.

For the energy relative to the elements, uncorrected, the calculation gives 1.295 eV/atom. For the density, the calculation gives 4.6 Mg/m³. The crystal system is tetragonal. The value obtained for the total energy is -14.6893 eV per atom. As for the total magnetization: 2.172 μB per cell.

The structure belongs to space group P4/mmm (No. 123); the cell edges are 3.8270, 3.8270 and 5.7027 Å and the angles 90.00°, 90.00° and 90.00°. The asymmetric unit holds Na at (0.0000, 0.0000, 0.0000), Mn at (0.0000, 0.0000, 0.5000), Te at (0.5000, 0.5000, 0.0000) and C at (0.0000, 0.5000, 0.5000).



Mn2NbC at its PBEsol-relaxed geometry. Source: Alexandria, functional meta-GGA SCAN.

As for the formation energy: 0.955 eV/atom. For the density, the calculation gives 8.3 Mg/m³. The crystal system is cubic. The value obtained for the total energy is -18.9796 eV per atom. As for the total magnetization: 3.966 μB per cell.

The structure belongs to space group Fm-3m (No. 225); the cell edges are 5.5652, 5.5652 and 5.5652 Å and the angles 90.00°, 90.00° and 90.00°. The asymmetric unit holds Mn at (0.2500, 0.2500, 0.2500), Nb at (0.0000, 0.0000, 0.0000) and C at (0.0000, 0.0000, 0.5000).



Mn2NbCO at its PBEsol-relaxed geometry. Source: Alexandria, functional meta-GGA SCAN.

For the energy relative to the elements, uncorrected, the calculation gives 1.234 eV/atom. For the density, the calculation gives 4.3 Mg/m³. The crystal system is tetragonal. The value obtained for the total energy is -15.9598 eV per atom. As for the total magnetization: 5.903 μB per cell.

The structure belongs to space group P4/mmm (No. 123); the cell edges are 4.8087, 4.8087 and 3.8126 Å and the angles 90.00°, 90.00° and 90.00°. The asymmetric unit holds Mn at (0.0000, 0.5000, 0.0000), Nb at (0.0000, 0.0000, 0.0000), C at (0.5000, 0.5000, 0.5000) and O at (0.0000, 0.0000, 0.5000).